P.
Ga2Ge2Bi | PBE-GGA | relaxed

Lattice parameters (Å, degrees): 8.0620 8.0620 3.3760 90.00 90.00 90.00
Last column: nearest neighbours and their distance in Å.
Space group P4/mbm (No. 127)
Asymmetric unit:
Ga 0.1549 0.3451 0.0000  6 Ge 2.83-3.03, 2 Bi 3.05
Ge 0.1246 0.6246 0.5000  6 Ga 2.83-3.03, 1 Ge 2.84
Bi 0.0000 0.0000 0.0000  4 Ga 3.05, 2 Bi 3.38

Properties
Magnetic moment in μB/f.u.: 0.00

---

Q.
Ga2Ge2Bi | PBE-GGA | relaxed

Lattice parameters (Å, degrees): 8.2893 8.2893 3.1833 90.00 90.00 90.00
Last column: nearest neighbours and their distance in Å.
Space group P4/mbm (No. 127)
Asymmetric unit:
Ga 0.1415 0.3585 0.0000  6 Ge 2.90-2.91, 2 Ga 3.18
Ge 0.1520 0.6520 0.5000  6 Ga 2.90-2.91, 2 Bi 3.15, 2 Ge 3.18
Bi 0.0000 0.0000 0.5000  4 Ge 3.15, 2 Bi 3.18

Properties
Magnetic moment in μB/f.u.: 0.00

---

Stability check: which of them is most stable? Q.

---

P.
NbGaGe2Bi | PBE-GGA | relaxed

Lattice parameters (Å, degrees): 5.4002 5.4002 5.1793 90.00 90.00 90.00
Last column: nearest neighbours and their distance in Å.
Space group P4/mmm (No. 123)
Asymmetric unit:
Nb 0.0000 0.0000 0.0000  8 Ge 3.74, 4 Ga 3.82
Ga 0.5000 0.5000 0.0000  2 Bi 2.59
Ge 0.0000 0.5000 0.5000  2 Bi 2.70
Bi 0.5000 0.5000 0.5000  2 Ga 2.59, 4 Ge 2.70

Properties
Magnetic moment in μB/f.u.: 0.04

---

Q.
NbGaGe2Bi | PBE-GGA | relaxed

Lattice parameters (Å, degrees): 4.8537 4.8537 5.1402 90.00 90.00 90.00
Last column: nearest neighbours and their distance in Å.
Space group P4/mmm (No. 123)
Asymmetric unit:
Nb 0.0000 0.0000 0.0000  2 Ga 2.57
Ga 0.0000 0.0000 0.5000  4 Ge 2.43, 2 Nb 2.57
Ge 0.0000 0.5000 0.5000  2 Ga 2.43
Bi 0.5000 0.5000 0.0000  4 Nb 3.43, 8 Ge 3.53

Properties
Magnetic moment in μB/f.u.: 1.60

---

Stability check: which of them is most stable? Q.

---

P.
Ga2BiH | PBE-GGA | relaxed

Lattice parameters (Å, degrees): 5.1432 5.1432 12.4144 90.00 90.00 90.00
Last column: nearest neighbours and their distance in Å.
Space group I-42d (No. 122)
Asymmetric unit:
Ga 0.0820 0.2500 0.1250  2 H 2.06
Bi 0.0000 0.0000 0.5000  4 Ga 2.95
H 0.0000 0.0000 0.0000  4 Ga 2.06

Properties
Magnetic moment in μB/f.u.: 0.00

---

Q.
Ga2BiH | PBE-GGA | relaxed

Lattice parameters (Å, degrees): 4.6925 4.6925 17.7066 90.00 90.00 120.00
Last column: nearest neighbours and their distance in Å.
Space group R-3m (No. 166, hexagonal axes)
Asymmetric unit:
Ga 0.0000 0.0000 0.1006  1 H 1.78
Bi 0.0000 0.0000 0.5000  6 Ga 2.95
H 0.0000 0.0000 0.0000  2 Ga 1.78

Properties
Magnetic moment in μB/f.u.: 0.00

---

R.
Ga2BiH | PBE-GGA | relaxed

Lattice parameters (Å, degrees): 6.9086 6.9086 6.9086 90.00 90.00 90.00
Last column: nearest neighbours and their distance in Å.
Space group Fm-3m (No. 225)
Asymmetric unit:
Ga 0.2500 0.2500 0.2500  4 H 2.99, 4 Bi 2.99
Bi 0.0000 0.0000 0.0000  8 Ga 2.99
H 0.0000 0.0000 0.5000  8 Ga 2.99

Properties
Magnetic moment in μB/f.u.: 0.00

---

Stability check: which of them is most stable? Q.